Tb12Cu5Rh3 | GGA-PBE | relaxed

Calculated total energy, eV per atom: -4.91
Energy of formation from the pure elements, meV per atom: -8.2

Lattice parameters (Å, degrees): 14.2182 14.2182 14.2182 109.47 109.47 109.47
Fractional coordinates of all 80 atoms:
Cu: 0.1250 0.7500 0.3750
Cu: 0.7500 0.1250 0.8750
Tb: 0.6713 0.2226 0.5915
Tb: 0.9085 0.0798 0.6311
Cu: 0.3750 0.2500 0.1250
Cu: 0.2500 0.8750 0.1250
Tb: 0.5915 0.8689 0.4202
Cu: 0.5000 0.0000 0.0000
Cu: 0.6250 0.8750 0.2500
Rh: 0.6250 0.2500 0.3750
Cu: 0.0000 0.0000 0.5000
Tb: 0.9487 0.5798 0.1713
Tb: 0.1713 0.0798 0.9487
Rh: 0.3750 0.7500 0.6250
Tb: 0.9085 0.8287 0.7774
Tb: 0.4487 0.6713 0.0798
Tb: 0.6311 0.5798 0.9085
Cu: 0.2500 0.3750 0.6250
Tb: 0.5798 0.6311 0.4085
Tb: 0.7774 0.3287 0.9085
Cu: 0.6250 0.7500 0.8750
Tb: 0.0798 0.9085 0.1311
Tb: 0.7774 0.4487 0.3689
Cu: 0.3750 0.1250 0.7500
Tb: 0.2226 0.5513 0.6311
Rh: 0.1250 0.2500 0.8750
Cu: 0.0000 0.5000 0.5000
Tb: 0.6713 0.4487 0.5798
Tb: 0.8287 0.9202 0.0513
Tb: 0.3287 0.5513 0.4202
Tb: 0.4085 0.1311 0.5798
Tb: 0.0915 0.1713 0.2226
Tb: 0.0798 0.1713 0.4487
Tb: 0.2226 0.6713 0.0915
Tb: 0.8287 0.9085 0.2774
Tb: 0.6311 0.0513 0.2226
Tb: 0.2774 0.4085 0.8287
Tb: 0.0915 0.9202 0.3689
Tb: 0.7226 0.5915 0.1713
Tb: 0.1713 0.0915 0.7226
Cu: 0.5000 0.0000 0.5000
Tb: 0.3689 0.9487 0.7774
Cu: 0.8750 0.2500 0.6250
Cu: 0.5000 0.5000 0.5000
Tb: 0.3689 0.4202 0.0915
Rh: 0.7500 0.3750 0.1250
Tb: 0.8689 0.5915 0.9202
Tb: 0.4085 0.2774 0.3287
Tb: 0.9202 0.8287 0.5513
Tb: 0.2774 0.8689 0.9487
Rh: 0.8750 0.1250 0.2500
Cu: 0.5000 0.5000 0.0000
Tb: 0.3287 0.7774 0.4085
Tb: 0.4487 0.7774 0.8689
Tb: 0.9487 0.3689 0.2774
Tb: 0.0513 0.4202 0.8287
Cu: 0.1250 0.3750 0.2500
Tb: 0.0513 0.6311 0.7226
Rh: 0.7500 0.8750 0.6250
Tb: 0.5513 0.3287 0.9202
Tb: 0.9202 0.0915 0.8689
Rh: 0.1250 0.8750 0.7500
Tb: 0.1311 0.7226 0.5513
Rh: 0.2500 0.6250 0.8750
Cu: 0.8750 0.6250 0.7500
Rh: 0.3750 0.6250 0.2500
Tb: 0.4202 0.0513 0.3287
Rh: 0.6250 0.3750 0.7500
Tb: 0.4202 0.3689 0.5915
Tb: 0.5798 0.9487 0.6713
Cu: 0.0000 0.5000 0.0000
Tb: 0.5513 0.2226 0.1311
Tb: 0.5915 0.7226 0.6713
Rh: 0.2500 0.1250 0.3750
Cu: 0.7500 0.6250 0.3750
Tb: 0.8689 0.2774 0.4487
Cu: 0.0000 0.0000 0.0000
Rh: 0.8750 0.7500 0.1250
Tb: 0.1311 0.4085 0.0798
Tb: 0.7226 0.1311 0.0513



TbCu6Rh2 | GGA-PBE | relaxed

Calculated total energy, eV per atom: -4.82
Energy of formation from the pure elements, meV per atom: 59.6

Lattice parameters (Å, degrees): 3.0235 7.3308 7.3308 57.00 78.10 78.10
Fractional coordinates of all 9 atoms:
Cu: 0.5000 0.6675 0.3325
Cu: 0.5000 0.3325 0.6675
Rh: 0.1440 0.3560 0.3560
Cu: 0.3214 0.3635 0.9937
Cu: 0.6786 0.0063 0.6365
Cu: 0.6786 0.6365 0.0063
Rh: 0.8560 0.6440 0.6440
Cu: 0.3214 0.9937 0.3635
Tb: 0.0000 0.0000 0.0000



Tb8Cu2Rh | GGA-PBE | relaxed

Calculated total energy, eV per atom: -5.01
Energy of formation from the pure elements, meV per atom: -232.2
Polymorph energy (0 for the lowest one), kJ/mol of formula units: 0.0

Lattice parameters (Å, degrees): 5.1067 6.7021 9.0231 105.07 106.44 90.00
Fractional coordinates of all 11 atoms:
Tb: 0.6664 0.9784 0.3327
Tb: 0.9671 0.2108 0.9342
Cu: 0.1862 0.7277 0.3724
Cu: 0.8138 0.2723 0.6276
Rh: 0.5000 0.0000 0.0000
Tb: 0.8004 0.6725 0.6008
Tb: 0.4103 0.5563 0.8205
Tb: 0.1996 0.3275 0.3992
Tb: 0.5897 0.4437 0.1795
Tb: 0.0329 0.7892 0.0658
Tb: 0.3336 0.0216 0.6673



Tb8CuRh5 | GGA-PBE | relaxed

Calculated total energy, eV per atom: -6.22
Energy of formation from the pure elements, meV per atom: -660.4

Lattice parameters (Å, degrees): 7.4946 7.4946 7.4946 109.38 109.65 109.38
Fractional coordinates of all 14 atoms:
Rh: 0.0072 0.3772 0.1241
Tb: 0.5091 0.6314 0.2607
Tb: 0.7393 0.2484 0.3707
Tb: 0.6293 0.3686 0.8777
Rh: 0.5000 0.0000 0.5000
Tb: 0.1223 0.7516 0.4909
Rh: 0.8759 0.8831 0.2531
Rh: 0.3700 0.1169 0.9928
Cu: 0.2500 0.5000 0.7500
Tb: 0.2489 0.2484 0.3698
Tb: 0.6302 0.8791 0.8786
Tb: 0.1214 0.7516 0.0006
Tb: 0.9994 0.1209 0.7511
Rh: 0.7469 0.6228 0.6300